DFT (GGA-PBE) results for Tm3PtI3 after structural relaxation.

It has space group R-3 (No. 148, hexagonal axes), with a = 6.9931 Å, b = 6.9931 Å, c = 34.6131 Å, α = 90.00°, β = 90.00° and γ = 120.00°. The distinct sites, in fractional coordinates, are Tm at (0.0000, 0.3434, 0.4552), Pt at (0.0000, 0.0000, 0.1667) and I at (0.0000, 0.3287, 0.6059).

The value obtained for the total energy is -4.596 eV/atom. For the magnetic moment, the calculation gives 0.00 μB per cell. As for the formation energy (no corrections): -1.1528 eV per atom. Its density of states at the Fermi level is 3.30 states/eV/f.u.

=====

DFT (GGA-PBE) results for TmPtI after structural relaxation.

It has space group Fdd2 (No. 43), with a = 12.3857 Å, b = 13.0396 Å, c = 8.3006 Å, α = 90.00°, β = 90.00° and γ = 90.00°. The distinct sites, in fractional coordinates, are Tm at (0.0619, 0.2170, 0.0000), Pt at (0.0186, 0.1134, 0.7100) and I at (0.0853, 0.1210, 0.3358).

The value obtained for the total energy is -4.892 eV/atom. For the magnetic moment, the calculation gives 0.00 μB per cell. As for the formation energy (no corrections): -0.8709 eV per atom.

=====

DFT (GGA-PBE) results for Tm7PtI12 after structural relaxation.

It has space group R-3 (No. 148, hexagonal axes), with a = 15.6093 Å, b = 15.6093 Å, c = 10.6509 Å, α = 90.00°, β = 90.00° and γ = 120.00°. The distinct sites, in fractional coordinates, are Tm at (0.0000, 0.0000, 0.0000), Tm at (0.0438, 0.8866, 0.3559), Pt at (0.0000, 0.0000, 0.5000), I at (0.0188, 0.4347, 0.1576) and I at (0.0512, 0.8713, 0.8399).

The value obtained for the total energy is -4.031 eV/atom. For the magnetic moment, the calculation gives 1.71 μB per cell. As for the formation energy (no corrections): -1.2341 eV per atom. Its density of states at the Fermi level is 5.14 states/eV/f.u.

=====

DFT (GGA-PBE) results for Tm2PtI2 after structural relaxation.

It has space group C2/m (No. 12), with a = 7.0769 Å, b = 4.0855 Å, c = 12.2143 Å, α = 90.00°, β = 102.38° and γ = 90.00°. The distinct sites, in fractional coordinates, are Tm at (0.2141, 0.0000, 0.1281), Pt at (0.0000, 0.5000, 0.0000) and I at (0.0535, 0.0000, 0.6942).

The value obtained for the total energy is -4.880 eV/atom. For the magnetic moment, the calculation gives 0.00 μB per cell. As for the formation energy (no corrections): -1.2630 eV per atom. Its density of states at the Fermi level is 1.76 states/eV/f.u.

=====

DFT (GGA-PBE) results for VPt2I2 after structural relaxation.

It has space group P4/mbm (No. 127), with a = 7.5427 Å, b = 7.5427 Å, c = 3.8802 Å, α = 90.00°, β = 90.00° and γ = 90.00°. The distinct sites, in fractional coordinates, are V at (0.0000, 0.0000, 0.0000), Pt at (0.1298, 0.3702, 0.5000) and I at (0.1858, 0.6858, 0.0000).

The value obtained for the total energy is -4.211 eV/atom. For the magnetic moment, the calculation gives 6.00 μB per cell. As for the formation energy (no corrections): 0.6490 eV per atom. Its density of states at the Fermi level is 4.42 states/eV/f.u.

=====

DFT (GGA-PBE) results for V2PtI after structural relaxation.

It has space group I-42d (No. 122), with a = 6.9814 Å, b = 6.9814 Å, c = 6.9474 Å, α = 90.00°, β = 90.00° and γ = 90.00°. The distinct sites, in fractional coordinates, are V at (0.2192, 0.2500, 0.1250), Pt at (0.0000, 0.0000, 0.0000) and I at (0.0000, 0.0000, 0.5000).

The value obtained for the total energy is -5.912 eV/atom. The value obtained for the polymorph energy (0 for the lowest one) is 0.166 eV/atom. For the magnetic moment, the calculation gives 18.15 μB per cell. As for the formation energy (no corrections): 0.5450 eV per atom. Its density of states at the Fermi level is 4.68 states/eV/f.u.

=====

DFT (GGA-PBE) results for V3PtI after structural relaxation.

It has space group Pm-3m (No. 221), with a = 4.8788 Å, b = 4.8788 Å, c = 4.8788 Å, α = 90.00°, β = 90.00° and γ = 90.00°. The distinct sites, in fractional coordinates, are V at (0.0000, 0.0000, 0.5000), Pt at (0.0000, 0.0000, 0.0000) and I at (0.5000, 0.5000, 0.5000).

The value obtained for the total energy is -6.074 eV/atom. The value obtained for the polymorph energy (0 for the lowest one) is 0.000 eV/atom. For the magnetic moment, the calculation gives 6.88 μB per cell. As for the formation energy (no corrections): 0.9152 eV per atom. Its density of states at the Fermi level is 8.69 states/eV/f.u.

=====

DFT (GGA-PBE) results for VPt2I8 after structural relaxation.

It has space group C2/m (No. 12), with a = 11.6385 Å, b = 11.1060 Å, c = 8.0006 Å, α = 90.00°, β = 103.10° and γ = 90.00°. The distinct sites, in fractional coordinates, are V at (0.0000, 0.0000, 0.0000), Pt at (0.1252, 0.0000, 0.3662), I at (0.1120, 0.0000, 0.7035), I at (0.1452, 0.5000, 0.4990) and I at (0.1552, 0.1784, 0.1433).

The value obtained for the total energy is -3.130 eV/atom. For the magnetic moment, the calculation gives 3.10 μB per cell. As for the formation energy (no corrections): -0.0755 eV per atom. Its density of states at the Fermi level is 11.41 states/eV/f.u.